# TiHgCl3

A relaxed TiHgCl3 crystal (GGA-PBE, the Alexandria database).

a b c (Å): 5.2842 5.2842 5.2842
angles (deg): 90.00 90.00 90.00
Atoms (fractional coordinates):
Ti1 0.0000 0.0000 0.0000
Hg1 0.5000 0.5000 0.5000
Cl1 0.0000 0.5000 0.5000
Cl2 0.5000 0.0000 0.5000
Cl3 0.5000 0.5000 0.0000

Values from the calculation:
Energy relative to the elements, uncorrected   0.212 eV/atom
Energy relative to the lowest polymorph listed for this composition   1459 meV/atom
V   147.6 Å³ per cell
Total magnetization   0.050 μB/atom
Calculated total energy   -12.68 eV/cell